No. 1
# LuGeTe3Au

A geometry-optimized LuGeTe3Au structure (PBE-GGA, the Open Quantum Materials Database).

Cell lengths 8.361, 4.264, 10.287 Å; angles 90.00, 106.89, 90.00 degrees
Space group P2_1/m (No. 11)
Asymmetric unit:
1 Lu 0.224 0.250 0.184 [2 per cell]
2 Ge 0.144 0.750 0.702 [2 per cell]
3 Te 0.069 0.250 0.871 [2 per cell]
4 Te 0.190 0.250 0.480 [2 per cell]
5 Te 0.467 0.750 0.175 [2 per cell]
6 Au 0.365 0.750 0.404 [2 per cell]

For the calculated density, the calculation gives 7.8 g/cm³. Its offset from the most stable computed form is 0.00 eV per formula unit. The total energy is -4.1782 eV per atom. The value obtained for the total moment is 0.01 Bohr magnetons per cell.

---

No. 2
# HfZnMo

A geometry-optimized HfZnMo structure (PBE-GGA, the Open Quantum Materials Database).

Cell lengths 6.267, 6.267, 6.267 Å; angles 90.00, 90.00, 90.00 degrees
Space group F-43m (No. 216)
Asymmetric unit:
1 Hf 0.000 0.000 0.000 [4 per cell]
2 Zn 0.000 0.000 0.500 [4 per cell]
3 Mo 0.250 0.250 0.250 [4 per cell]

For the calculated density, the calculation gives 9.2 g/cm³. Its offset from the most stable computed form is 0.00 eV per formula unit. As for the energy relative to the elements: 0.826 eV per atom. The total energy is -6.5299 eV per atom. The value obtained for the total moment is 4.56 Bohr magnetons per cell.

---

- total energy of number 2 (HfZnMo)?
  -6.5299 eV per atom